A plane-wave DFT calculation with PBE was carried out for a relaxed structure of AlFeRu.

Volume, Å³ per atom: 13.559
Total moment, μB per atom: 1.16
DFT formation energy, eV per atom: -0.1764

Unit cell a=4.1449 b=4.1449 c=2.7340 alpha=90.00 beta=90.00 gamma=120.00
Space group P3m1 (No. 156)
Unique sites:
Al 0.0000 0.0000 0.0000 x1
Fe 0.6667 0.3333 0.3265 x1
Ru 0.3333 0.6667 0.6069 x1

***

A plane-wave DFT calculation with PBE was carried out for a relaxed structure of Al4FeRu5.

Volume, Å³ per atom: 13.499
Total moment, μB per atom: 0.30
DFT formation energy, eV per atom: -0.5058

Unit cell a=3.002 b=3.002 c=14.981 alpha=90.00 beta=90.00 gamma=90.00
Space group P4/mmm (No. 123)
Unique sites:
Al 0.000 0.000 0.101 x2
Al 0.000 0.000 0.299 x2
Fe 0.000 0.000 0.500 x1
Ru 0.500 0.500 0.000 x1
Ru 0.500 0.500 0.201 x2
Ru 0.500 0.500 0.403 x2

***

A plane-wave DFT calculation with PBE was carried out for a relaxed structure of Al6Fe5Ru.

Volume, Å³ per atom: 12.361
Total moment, μB per atom: 0.39
DFT formation energy, eV per atom: -0.3858

Unit cell a=4.076 b=5.928 c=6.389 alpha=90.00 beta=106.08 gamma=90.00
Space group P2/m (No. 10)
Unique sites:
Al 0.000 0.240 0.000 x2
Al 0.365 0.242 0.676 x4
Fe 0.143 0.500 0.355 x2
Fe 0.145 0.000 0.348 x2
Fe 0.500 0.000 0.000 x1
Ru 0.500 0.500 0.000 x1

***

A plane-wave DFT calculation with PBE was carried out for a relaxed structure of Al2FeRu.

Volume, Å³ per atom: 14.766
Total moment, μB per atom: 0.62
DFT formation energy, eV per atom: 0.1381

Unit cell a=6.625 b=6.625 c=5.383 alpha=90.00 beta=90.00 gamma=90.00
Space group I-42d (No. 122)
Unique sites:
Al 0.245 0.250 0.125 x8
Fe 0.000 0.000 0.000 x4
Ru 0.000 0.000 0.500 x4

***

A plane-wave DFT calculation with PBE was carried out for a relaxed structure of Al2FeRu.

Volume, Å³ per atom: 13.518
Total moment, μB per atom: 0.58
DFT formation energy, eV per atom: -0.3080

Unit cell a=3.101 b=3.101 c=5.623 alpha=90.00 beta=90.00 gamma=90.00
Space group P4mm (No. 99)
Unique sites:
Al 0.000 0.000 0.000 x1
Al 0.500 0.500 0.289 x1
Fe 0.000 0.000 0.504 x1
Ru 0.500 0.500 0.777 x1

***

A plane-wave DFT calculation with PBE was carried out for a relaxed structure of Al5FeRu4.

Volume, Å³ per atom: 13.347
Total moment, μB per atom: 0.14
DFT formation energy, eV per atom: -0.5904

Unit cell a=2.998 b=2.998 c=14.845 alpha=90.00 beta=90.00 gamma=90.00
Space group P4/mmm (No. 123)
Unique sites:
Al 0.000 0.000 0.000 x1
Al 0.000 0.000 0.204 x2
Al 0.000 0.000 0.404 x2
Fe 0.500 0.500 0.500 x1
Ru 0.500 0.500 0.102 x2
Ru 0.500 0.500 0.307 x2